An optimized crystal structure of BaCu2AgF8. Source: Alexandria via LeMat-Bulk, functional PBE-GGA.

Output
Size of the total moment = 1.008 μB per cell
Energy relative to the elements, uncorrected = -1.975 eV per atom
Space-group type = I-4, No. 82

Cell lengths 5.8076, 5.8076, 6.5720 Å; angles 116.22, 116.22, 90.00 degrees
Last column: magnetic moment on the atom in μB.
Element x y z (fractional)
Ba1 0.7500 0.2500 0.5000  0.00
Cu1 0.5000 0.5000 0.0000  0.45
Cu2 0.2500 0.7500 0.5000  0.29
Ag1 0.0000 0.0000 0.0000  -0.06
F1 0.6677 0.8065 0.0367  0.04
F2 0.3690 0.2302 0.0367  0.04
F3 0.5690 0.6879 0.5313  0.04
F4 0.9622 0.8433 0.5313  0.04
F5 0.1567 0.4310 0.4687  0.04
F6 0.3121 0.0378 0.4687  0.04
F7 0.1935 0.6310 0.9633  0.04
F8 0.7698 0.3323 0.9633  0.04